Record 1
Material: TbPaRh2
Method: DFT, PBE
State: relaxed

Values from the calculation:
**Raw total energy**: -7.96 eV/atom
**Crystal system**: tetragonal

a b c (Å): 3.4657 3.4657 6.9762
angles (deg): 90.00 90.00 90.00
Space group P4/mmm (No. 123)
Unique sites:
Tb 0.0000 0.0000 0.0000 [1 per cell]
Pa 0.0000 0.0000 0.5000 [1 per cell]
Rh 0.5000 0.5000 0.2816 [2 per cell]

***

Record 2
Material: DyP2Os2
Method: DFT, PBE
State: relaxed

Values from the calculation:
**Raw total energy**: -8.17 eV/atom
**Crystal system**: tetragonal

a b c (Å): 4.0827 4.0827 4.7762
angles (deg): 90.00 90.00 90.00
Space group P4/mmm (No. 123)
Unique sites:
Dy 0.0000 0.0000 0.0000 [1 per cell]
P 0.5000 0.5000 0.2308 [2 per cell]
Os 0.0000 0.5000 0.5000 [2 per cell]

***

Record 3
Material: Ho4SeS3
Method: DFT, PBE
State: relaxed

Values from the calculation:
**Crystal system**: cubic
**ΔE_f (raw)**: -1.879 eV/atom

a b c (Å): 5.5586 5.5586 5.5586
angles (deg): 90.00 90.00 90.00
Space group Pm-3m (No. 221)
Unique sites:
Ho 0.0000 0.0000 0.0000 [1 per cell]
Ho 0.0000 0.5000 0.5000 [3 per cell]
Se 0.5000 0.5000 0.5000 [1 per cell]
S 0.0000 0.0000 0.5000 [3 per cell]

***

Record 4
Material: K4BeSb
Method: DFT, PBE
State: relaxed

Values from the calculation:
**Crystal system**: cubic
**ΔE_f (raw)**: 0.576 eV/atom

a b c (Å): 9.9123 9.9123 9.9123
angles (deg): 90.00 90.00 90.00
Space group F-43m (No. 216)
Unique sites:
K 0.1239 0.1239 0.1239 [16 per cell]
Be 0.0000 0.0000 0.5000 [4 per cell]
Sb 0.2500 0.2500 0.7500 [4 per cell]